This record from Alexandria describes crystalline YTm2Cu at its relaxed geometry. The functional is PBE.

```
data_YTm2Cu
_chemical_formula_sum 'Y3 Tm6 Cu3'
_cell_length_a 3.5724
_cell_length_b 3.5724
_cell_length_c 29.2444
_cell_angle_alpha 90.00
_cell_angle_beta 90.00
_cell_angle_gamma 120.00
_symmetry_space_group_name_H-M 'R -3 m'
_symmetry_Int_Tables_number 166
_symmetry_space_group_name_Hall '-R 3 2"'
loop_
_atom_site_label
_atom_site_fract_x
_atom_site_fract_y
_atom_site_fract_z
Y1 0.0000 0.0000 0.0000
Tm1 0.0000 0.0000 0.2339
Cu1 0.0000 0.0000 0.5000
```

Values from the calculation:
As for the polymorph energy (0 for the lowest one): 0.147 eV/atom. The calculation puts the total magnetization at 0.0 μB per cell. The volume is 26.93 Å³/atom. The formation energy from the elements is 0.02 eV per atom.